# La2Pm5HoSc

A relaxed structure of La2Pm5HoSc (GGA-PBE, Alexandria via LeMat-Bulk).

Properties
The value obtained for the total magnetization is 0.00 μB per cell. The calculation puts the calculated total energy at -4.83 eV per atom. Its symmetry is Cmcm, No. 63.

Cell lengths 5.4665, 11.3967, 10.1596 Å; angles 90.00, 90.00, 103.88 degrees
Positions (direct):
1 La 0.8834 0.7668 0.7638
2 La 0.1167 0.2334 0.7525
3 La 0.1166 0.2332 0.2639
4 La 0.8834 0.7667 0.2526
5 Pm 0.3722 0.7445 0.0083
6 Pm 0.7237 0.4474 0.8217
7 Pm 0.5000 0.0000 0.7582
8 Pm 0.2764 0.5527 0.6948
9 Pm 0.9995 0.9990 0.5082
10 Pm 0.6277 0.2555 0.5082
11 Pm 0.2763 0.5526 0.3217
12 Pm 0.5000 0.0000 0.2582
13 Pm 0.7237 0.4473 0.1948
14 Pm 0.0005 0.0010 0.0082
15 Ho 0.6031 0.2062 0.0082
16 Ho 0.3969 0.7938 0.5082
17 Sc 0.7864 0.5728 0.5082
18 Sc 0.2136 0.4272 0.0082